[1]
The following is a PBE-GGA calculation of an optimized crystal structure of Tb2Pm3SmY6, from Alexandria via LeMat-Bulk.

a = 6.2332 Å, b = 10.7902 Å, c = 11.8619 Å
α = 90.00°, β = 100.04°, γ = 90.00°
Space group C2/m (No. 12)
Symmetry-distinct sites (fractional):
Tb 0.0000 0.1666 0.0000 x4
Pm 0.0000 0.0000 0.5000 x2
Pm 0.0000 0.3332 0.5000 x4
Sm 0.0000 0.5000 0.0000 x2
Y 0.2493 0.0000 0.2485 x4
Y 0.2503 0.1668 0.7515 x8

Values from the calculation:
Total moment (μB/cell): 0.00
Energy of formation (eV per atom): 0.0143
Calculated total energy (eV/atom): -5.570

[2]
The following is a PBE-GGA calculation of an optimized crystal structure of Ce2SmSc3P6, from Alexandria via LeMat-Bulk.

a = 6.8210 Å, b = 11.8138 Å, c = 6.7544 Å
α = 90.00°, β = 109.66°, γ = 90.00°
Space group C2/m (No. 12)
Symmetry-distinct sites (fractional):
Ce 0.0000 0.1668 0.0000 x4
Sm 0.0000 0.5000 0.0000 x2
Sc 0.0000 0.0000 0.5000 x2
Sc 0.0000 0.3341 0.5000 x4
P 0.2423 0.1682 0.7314 x8
P 0.2462 0.5000 0.7299 x4

Values from the calculation:
Total moment (μB/cell): 1.23
Energy of formation (eV per atom): -1.4917
Calculated total energy (eV/atom): -7.162

[3]
The following is a PBE-GGA calculation of an optimized crystal structure of LaPmPI, from Alexandria via LeMat-Bulk.

a = 4.2011 Å, b = 4.2011 Å, c = 23.5313 Å
α = 90.00°, β = 90.00°, γ = 120.00°
Space group R3m (No. 160, hexagonal axes)
Symmetry-distinct sites (fractional):
La 0.0000 0.0000 0.0000 x3
Pm 0.0000 0.0000 0.7957 x3
P 0.0000 0.0000 0.4012 x3
I 0.0000 0.0000 0.2277 x3

Values from the calculation:
Total moment (μB/cell): 0.00
Calculated total energy (eV/atom): -5.569

[4]
The following is a PBE-GGA calculation of an optimized crystal structure of KSc2ReMo, from Alexandria via LeMat-Bulk.

a = 4.5716 Å, b = 4.5716 Å, c = 4.6844 Å
α = 90.00°, β = 90.00°, γ = 90.00°
Space group P4/mmm (No. 123)
Symmetry-distinct sites (fractional):
K 0.0000 0.0000 0.0000 x1
Sc 0.0000 0.5000 0.0000 x2
Re 0.0000 0.0000 0.5000 x1
Mo 0.5000 0.5000 0.5000 x1

Values from the calculation:
Total moment (μB/cell): 0.00
Energy of formation (eV per atom): 2.3265
Calculated total energy (eV/atom): -5.081

[5]
The following is a PBE-GGA calculation of an optimized crystal structure of Tl2CdTc, from Alexandria via LeMat-Bulk.

a = 3.6864 Å, b = 3.6864 Å, c = 6.2627 Å
α = 90.00°, β = 90.00°, γ = 90.00°
Space group P4/mmm (No. 123)
Symmetry-distinct sites (fractional):
Tl 0.0000 0.0000 0.2340 x2
Cd 0.5000 0.5000 0.5000 x1
Tc 0.5000 0.5000 0.0000 x1

Values from the calculation:
Total moment (μB/cell): 0.00
Energy of formation (eV per atom): 0.6008
Calculated total energy (eV/atom): -3.403
Relative energy among the computed polymorphs (meV/atom): 150

[6]
The following is a PBE-GGA calculation of an optimized crystal structure of Pu2AlGe4Au3, from Alexandria via LeMat-Bulk.

a = 4.2336 Å, b = 4.2336 Å, c = 11.4756 Å
α = 90.00°, β = 90.00°, γ = 90.00°
Space group P-4m2 (No. 115)
Symmetry-distinct sites (fractional):
Pu 0.0000 0.5000 0.2381 x2
Al 0.5000 0.5000 0.0000 x1
Ge 0.0000 0.0000 0.5000 x1
Ge 0.0000 0.5000 0.8599 x2
Ge 0.5000 0.5000 0.5000 x1
Au 0.0000 0.0000 0.0000 x1
Au 0.0000 0.5000 0.6408 x2

Values from the calculation:
Total moment (μB/cell): 11.40
Energy of formation (eV per atom): -0.2992
Calculated total energy (eV/atom): -6.370